[1]
An optimized crystal structure of HoMg2Cu6. Source: Alexandria via LeMat-Bulk, functional PBE.

Cell lengths 3.2478, 7.4783, 7.4783 Å; angles 56.52, 77.46, 77.46 degrees
Last column: nearest neighbours and their distance in Å.
Element x y z (fractional)
Ho  0.0000  0.0000  0.0000  12 Cu 2.83-3.08
Mg  0.8598  0.6402  0.6402  10 Cu 2.66-2.81
Mg  0.1402  0.3598  0.3598  10 Cu 2.66-2.81
Cu  0.6778  0.0049  0.6396  4 Cu 2.49-2.64, 1 Mg 2.66
Cu  0.3222  0.9951  0.3604  4 Cu 2.49-2.64, 1 Mg 2.66
Cu  0.3222  0.3604  0.9951  4 Cu 2.49-2.64, 1 Mg 2.66
Cu  0.5000  0.6728  0.3272  3 Cu 2.45-2.49, 4 Mg 2.71
Cu  0.5000  0.3272  0.6728  3 Cu 2.45-2.49, 4 Mg 2.71
Cu  0.6778  0.6396  0.0049  4 Cu 2.49-2.64, 1 Mg 2.66

* ΔE_f: -0.34 eV/f.u.
* symmetry: No. 71
* volume: 147 Å³ per cell

***

[2]
An optimized crystal structure of CsMgCl2. Source: Alexandria via LeMat-Bulk, functional PBE.

Cell lengths 5.6148, 5.6148, 5.6148 Å; angles 60.00, 60.00, 60.00 degrees
Last column: nearest neighbours and their distance in Å.
Element x y z (fractional)
Cs  0.5000  0.5000  0.5000  8 Cl 3.44
Mg  0.0000  0.0000  0.0000  8 Cl 3.44
Cl  0.2500  0.2500  0.2500  4 Cs 3.44, 4 Mg 3.44
Cl  0.7500  0.7500  0.7500  4 Mg 3.44, 4 Cs 3.44

* formation energy without anion corrections: -4.40 eV per formula unit
* symmetry: No. 225
* volume: 125 Å³ per cell